(1)
CsCuAsSe3 | PBE-GGA | relaxed

Computed properties:
SG	P2_1/m (11)
mass density	4.85	Mg/m³
total magnetization	0.000	μB/f.u.
energy	-3.7704	eV per atom

abc: 9.661 3.958 10.035
angles: 90.00 114.82 90.00
Fractional positions:
1 Cs 0.214 0.250 0.249
2 Cs 0.786 0.750 0.751
3 Cu 0.071 0.250 0.588
4 Cu 0.929 0.750 0.412
5 As 0.335 0.750 0.868
6 As 0.665 0.250 0.132
7 Se 0.140 0.250 0.855
8 Se 0.204 0.750 0.552
9 Se 0.475 0.750 0.146
10 Se 0.525 0.250 0.854
11 Se 0.796 0.250 0.448
12 Se 0.860 0.750 0.145

---

(2)
Hf2VGe | PBE-GGA | relaxed

Computed properties:
SG	P4/mmm (123)
mass density	11.19	Mg/m³
total magnetization	0.585	μB/f.u.
energy	-8.6505	eV per atom

abc: 4.445 4.445 3.610
angles: 90.00 90.00 90.00
Fractional positions:
1 Hf 0.000 0.500 0.000
2 Hf 0.500 0.000 0.000
3 V 0.000 0.000 0.500
4 Ge 0.500 0.500 0.500

---

(3)
Dy7Ho2Sc | PBE-GGA | relaxed

Computed properties:
SG	Cmmm (65)
relative energy among the computed polymorphs	0	meV per atom
mass density	8.00	Mg/m³
total magnetization	0.001	μB/f.u.

abc: 14.547 14.547 3.446
angles: 90.00 90.00 154.51
Fractional positions:
1 Dy 0.000 0.000 0.000
2 Dy 0.159 0.353 0.000
3 Dy 0.314 0.686 0.500
4 Dy 0.353 0.159 0.000
5 Dy 0.647 0.841 0.000
6 Dy 0.686 0.314 0.500
7 Dy 0.841 0.647 0.000
8 Ho 0.207 0.793 0.000
9 Ho 0.793 0.207 0.000
10 Sc 0.500 0.500 0.500

---

Q: Which formula does entry 1 have?
A: CsCuAsSe3

---

Q: What is the total magnetization in the second record?
A: 0.585 μB/f.u.